(1)
VASP calculation (GGA-PBE) on crystalline Tb3Sm2Y3 at its relaxed geometry.

a = 5.071 Å, b = 5.067 Å, c = 10.732 Å
α = 103.66°, β = 103.66°, γ = 90.00°
Atoms (fractional coordinates):
Tb 0.000 0.500 0.000
Tb 0.876 0.876 0.751
Tb 0.124 0.124 0.249
Y 0.376 0.376 0.751
Sm 0.750 0.250 0.500
Sm 0.250 0.750 0.500
Y 0.624 0.624 0.249
Y 0.500 0.000 0.000

Calculated values
formation energy: 0.464 kcal/mol of atoms
crystal system: orthorhombic
total DFT energy (no corrections): -42.56 eV/cell
distance to the lowest polymorph of the same formula: 6 meV per atom

(2)
VASP calculation (GGA-PBE) on crystalline Tb2SmY3 at its relaxed geometry.

a = 6.661 Å, b = 6.661 Å, c = 8.972 Å
α = 81.80°, β = 81.80°, γ = 95.08°
Atoms (fractional coordinates):
Y 0.324 0.159 0.507
Tb 0.126 0.624 0.624
Y 0.841 0.676 0.993
Tb 0.874 0.376 0.376
Tb 0.624 0.126 0.124
Y 0.574 0.426 0.750
Sm 0.905 0.095 0.750
Y 0.159 0.324 0.007
Y 0.676 0.841 0.493
Y 0.426 0.574 0.250
Tb 0.376 0.874 0.876
Sm 0.095 0.905 0.250

Calculated values
formation energy: 1.546 kcal/mol of atoms
crystal system: monoclinic
total DFT energy (no corrections): -65.94 eV/cell
distance to the lowest polymorph of the same formula: 0 meV per atom

(3)
VASP calculation (GGA-PBE) on crystalline TbSm3Y5 at its relaxed geometry.

a = 6.177 Å, b = 10.983 Å, c = 11.577 Å
α = 124.33°, β = 90.00°, γ = 106.33°
Atoms (fractional coordinates):
Y 0.570 0.000 0.250
Y 0.018 0.643 0.476
Y 0.624 0.643 0.976
Tb 0.920 0.000 0.750
Y 0.181 0.722 0.868
Y 0.459 0.278 0.632
Y 0.982 0.357 0.524
Sm 0.960 0.361 0.829
Sm 0.400 0.361 0.329
Sm 0.040 0.639 0.171
Y 0.541 0.722 0.368
Y 0.819 0.278 0.132
Sm 0.000 0.000 0.000
Tb 0.080 0.000 0.250
Y 0.430 0.000 0.750
Sm 0.600 0.639 0.671
Sm 0.000 0.000 0.500
Y 0.376 0.357 0.024

Calculated values
formation energy: 6.821 kcal/mol of atoms
crystal system: monoclinic
total DFT energy (no corrections): -96.89 eV/cell
distance to the lowest polymorph of the same formula: 244 meV per atom

(4)
VASP calculation (GGA-PBE) on crystalline Tb3Sm4Y2 at its relaxed geometry.

a = 7.067 Å, b = 12.092 Å, c = 12.092 Å
α = 48.02°, β = 54.24°, γ = 54.24°
Atoms (fractional coordinates):
Sm 0.655 0.519 0.826
Tb 0.911 0.170 0.170
Sm 0.527 0.152 0.821
Sm 0.473 0.848 0.179
Y 0.179 0.479 0.842
Tb 0.750 0.500 0.500
Sm 0.845 0.174 0.481
Tb 0.250 0.500 0.500
Tb 0.589 0.830 0.830
Sm 0.973 0.179 0.848
Y 0.679 0.842 0.479
Y 0.821 0.521 0.158
Tb 0.411 0.170 0.170
Sm 0.345 0.481 0.174
Sm 0.027 0.821 0.152
Tb 0.089 0.830 0.830
Sm 0.155 0.826 0.519
Y 0.321 0.158 0.521

Calculated values
formation energy: 1.290 kcal/mol of atoms
crystal system: orthorhombic
total DFT energy (no corrections): -90.38 eV/cell
distance to the lowest polymorph of the same formula: 41 meV per atom

(5)
VASP calculation (GGA-PBE) on crystalline Tb2Sm7Y3 at its relaxed geometry.

a = 6.593 Å, b = 6.593 Å, c = 11.770 Å
α = 73.74°, β = 73.74°, γ = 60.00°
Atoms (fractional coordinates):
Sm 0.922 0.412 0.255
Y 0.151 0.151 0.548
Sm 0.500 0.500 0.500
Sm 0.588 0.588 0.745
Tb 0.334 0.334 0.997
Sm 0.412 0.412 0.255
Y 0.849 0.849 0.452
Sm 0.078 0.588 0.745
Y 0.000 0.000 0.000
Sm 0.412 0.922 0.255
Tb 0.666 0.666 0.003
Sm 0.588 0.078 0.745

Calculated values
formation energy: 6.335 kcal/mol of atoms
crystal system: trigonal
total DFT energy (no corrections): -58.39 eV/cell
distance to the lowest polymorph of the same formula: 191 meV per atom

(6)
VASP calculation (GGA-PBE) on crystalline TbSm5Y8 at its relaxed geometry.

a = 8.497 Å, b = 8.497 Å, c = 8.497 Å
α = 111.00°, β = 106.45°, γ = 111.00°
Atoms (fractional coordinates):
Y 0.081 0.748 0.476
Y 0.667 0.395 0.919
Sm 0.500 0.000 0.500
Y 0.524 0.605 0.272
Y 0.337 0.261 0.429
Sm 0.814 0.677 0.710
Sm 0.033 0.323 0.137
Y 0.169 0.739 0.077
Tb 0.250 0.500 0.750
Y 0.571 0.908 0.831
Y 0.728 0.252 0.333
Y 0.923 0.092 0.663
Sm 0.863 0.896 0.186
Sm 0.290 0.104 0.967

Calculated values
formation energy: 5.513 kcal/mol of atoms
crystal system: tetragonal
total DFT energy (no corrections): -76.59 eV/cell

(7)
VASP calculation (GGA-PBE) on crystalline Tb2Sm2Y5 at its relaxed geometry.

a = 3.565 Å, b = 11.978 Å, c = 8.650 Å
α = 57.38°, β = 91.09°, γ = 106.09°
Atoms (fractional coordinates):
Y 0.190 0.425 0.218
Y 0.810 0.575 0.782
Tb 0.098 0.349 0.671
Y 0.000 0.000 0.000
Y 0.599 0.886 0.438
Tb 0.902 0.651 0.329
Y 0.401 0.114 0.562
Sm 0.499 0.217 0.098
Sm 0.501 0.783 0.902

Calculated values
formation energy: 1.403 kcal/mol of atoms
crystal system: triclinic
total DFT energy (no corrections): -50.47 eV/cell
distance to the lowest polymorph of the same formula: 0 meV per atom

(8)
VASP calculation (GGA-PBE) on crystalline TbSm6Y2 at its relaxed geometry.

a = 6.189 Å, b = 7.540 Å, c = 7.540 Å
α = 59.93°, β = 89.92°, γ = 89.92°
Atoms (fractional coordinates):
Sm 0.294 0.376 0.812
Y 0.210 0.334 0.334
Y 0.790 0.666 0.666
Tb 0.000 0.000 0.000
Sm 0.706 0.624 0.188
Sm 0.707 0.188 0.188
Sm 0.293 0.812 0.812
Sm 0.294 0.812 0.376
Sm 0.706 0.188 0.624

Calculated values
formation energy: 5.299 kcal/mol of atoms
crystal system: monoclinic
total DFT energy (no corrections): -43.81 eV/cell
distance to the lowest polymorph of the same formula: 91 meV per atom

(9)
VASP calculation (GGA-PBE) on crystalline Tb3Sm5Y4 at its relaxed geometry.

a = 7.184 Å, b = 11.358 Å, c = 12.951 Å
α = 151.29°, β = 56.32°, γ = 129.28°
Atoms (fractional coordinates):
Sm 0.251 0.502 0.001
Tb 0.416 0.833 0.667
Sm 0.665 0.333 0.167
Sm 0.500 0.000 0.500
Tb 0.584 0.167 0.333
Y 0.916 0.832 0.666
Y 0.084 0.168 0.334
Sm 0.749 0.498 0.999
Tb 0.000 0.000 0.500
Y 0.834 0.668 0.833
Sm 0.335 0.667 0.833
Y 0.166 0.332 0.167

Calculated values
formation energy: 0.347 kcal/mol of atoms
crystal system: triclinic
total DFT energy (no corrections): -63.16 eV/cell
distance to the lowest polymorph of the same formula: 0 meV per atom

(10)
VASP calculation (GGA-PBE) on crystalline TbSm2Y8 at its relaxed geometry.

a = 5.913 Å, b = 9.068 Å, c = 9.231 Å
α = 60.58°, β = 74.79°, γ = 57.71°
Atoms (fractional coordinates):
Y 0.168 0.902 0.768
Sm 0.000 0.694 0.613
Sm 0.000 0.306 0.387
Y 0.500 0.208 0.584
Y 0.704 0.576 0.000
Y 0.832 0.330 0.768
Y 0.168 0.670 0.232
Tb 0.500 0.000 0.000
Y 0.832 0.098 0.232
Y 0.296 0.424 0.000
Y 0.500 0.792 0.416

Calculated values
formation energy: 3.636 kcal/mol of atoms
crystal system: monoclinic
total DFT energy (no corrections): -64.05 eV/cell

(11)
VASP calculation (GGA-PBE) on crystalline Tb3SmY2 at its relaxed geometry.

a = 7.213 Å, b = 10.236 Å, c = 7.205 Å
α = 79.86°, β = 119.98°, γ = 121.86°
Atoms (fractional coordinates):
Tb 0.249 0.999 0.750
Y 0.695 0.335 0.639
Y 0.305 0.665 0.361
Sm 0.751 0.001 0.751
Tb 0.196 0.334 0.639
Y 0.305 0.666 0.861
Y 0.695 0.334 0.139
Tb 0.751 0.001 0.250
Tb 0.804 0.666 0.860
Tb 0.804 0.666 0.361
Sm 0.249 0.999 0.249
Tb 0.196 0.334 0.140

Calculated values
formation energy: -0.070 kcal/mol of atoms
crystal system: triclinic
total DFT energy (no corrections): -63.11 eV/cell

(12)
VASP calculation (GGA-PBE) on crystalline Tb15SmY4 at its relaxed geometry.

a = 5.045 Å, b = 5.045 Å, c = 25.220 Å
α = 90.00°, β = 90.00°, γ = 90.00°
Atoms (fractional coordinates):
Y 0.000 0.000 0.800
Tb 0.000 0.500 0.100
Tb 0.500 0.500 0.200
Tb 0.500 0.500 0.000
Tb 0.500 0.500 0.800
Tb 0.000 0.500 0.900
Tb 0.500 0.000 0.100
Tb 0.000 0.500 0.700
Tb 0.500 0.500 0.600
Tb 0.500 0.000 0.500
Y 0.000 0.000 0.200
Tb 0.000 0.500 0.300
Y 0.000 0.000 0.600
Tb 0.500 0.000 0.300
Tb 0.500 0.500 0.400
Y 0.000 0.000 0.400
Sm 0.000 0.000 0.000
Tb 0.500 0.000 0.900
Tb 0.000 0.500 0.500
Tb 0.500 0.000 0.700

Calculated values
formation energy: 0.415 kcal/mol of atoms
crystal system: tetragonal
total DFT energy (no corrections): -99.67 eV/cell

(13)
VASP calculation (GGA-PBE) on crystalline Tb6SmY2 at its relaxed geometry.

a = 3.471 Å, b = 6.050 Å, c = 17.464 Å
α = 117.06°, β = 84.30°, γ = 73.33°
Atoms (fractional coordinates):
Tb 0.564 0.810 0.063
Tb 0.898 0.808 0.396
Tb 0.229 0.811 0.731
Sm 0.500 0.500 0.500
Tb 0.771 0.189 0.269
Y 0.833 0.500 0.834
Tb 0.436 0.190 0.937
Tb 0.102 0.192 0.604
Y 0.167 0.500 0.166

Calculated values
formation energy: 4.482 kcal/mol of atoms
crystal system: monoclinic
total DFT energy (no corrections): -43.68 eV/cell
distance to the lowest polymorph of the same formula: 0 meV per atom

(14)
VASP calculation (GGA-PBE) on crystalline Tb4Sm3Y8 at its relaxed geometry.

a = 6.990 Å, b = 6.990 Å, c = 12.463 Å
α = 73.71°, β = 73.71°, γ = 60.00°
Atoms (fractional coordinates):
Tb 0.500 0.500 0.500
Y 0.249 0.249 0.752
Y 0.750 0.249 0.752
Y 0.246 0.246 0.263
Y 0.751 0.250 0.248
Sm 0.000 0.500 0.500
Tb 0.336 0.336 0.992
Sm 0.500 0.000 0.500
Y 0.250 0.751 0.248
Y 0.754 0.754 0.737
Sm 0.000 0.000 0.500
Tb 0.664 0.664 0.008
Y 0.751 0.751 0.248
Y 0.249 0.750 0.752
Tb 0.000 0.000 0.000

Calculated values
formation energy: 3.456 kcal/mol of atoms
crystal system: trigonal
total DFT energy (no corrections): -82.14 eV/cell
distance to the lowest polymorph of the same formula: 0 meV per atom

(15)
VASP calculation (GGA-PBE) on crystalline Tb6Sm19Y4 at its relaxed geometry.

a = 10.918 Å, b = 10.918 Å, c = 10.918 Å
α = 109.47°, β = 109.47°, γ = 109.47°
Atoms (fractional coordinates):
Sm 0.219 0.541 0.198
Sm 0.259 0.000 0.259
Y 0.000 0.000 0.640
Y 0.640 0.000 0.000
Sm 0.343 0.020 0.802
Sm 0.198 0.219 0.541
Tb 0.500 0.875 0.375
Sm 0.741 0.000 0.741
Sm 0.000 0.741 0.741
Y 0.000 0.640 0.000
Tb 0.500 0.125 0.625
Sm 0.677 0.657 0.459
Sm 0.541 0.198 0.219
Sm 0.020 0.802 0.343
Y 0.360 0.360 0.360
Sm 0.741 0.741 0.000
Sm 0.323 0.781 0.980
Tb 0.375 0.500 0.875
Sm 0.802 0.343 0.020
Sm 0.980 0.323 0.781
Sm 0.781 0.980 0.323
Tb 0.875 0.375 0.500
Sm 0.259 0.259 0.000
Sm 0.000 0.000 0.000
Tb 0.125 0.625 0.500
Tb 0.625 0.500 0.125
Sm 0.000 0.259 0.259
Sm 0.459 0.677 0.657
Sm 0.657 0.459 0.677

Calculated values
formation energy: 8.591 kcal/mol of atoms
crystal system: cubic
total DFT energy (no corrections): -132.50 eV/cell

(16)
VASP calculation (GGA-PBE) on crystalline Tb3Sm2Y at its relaxed geometry.

a = 5.671 Å, b = 9.027 Å, c = 9.759 Å
α = 122.63°, β = 90.00°, γ = 108.31°
Atoms (fractional coordinates):
Tb 0.376 0.752 0.382
Y 0.874 0.749 0.869
Tb 0.002 0.003 0.669
Tb 0.624 0.248 0.618
Y 0.126 0.251 0.131
Tb 0.750 0.500 0.411
Sm 0.250 0.501 0.925
Sm 0.498 0.997 0.165
Sm 0.750 0.499 0.075
Tb 0.250 0.500 0.589
Tb 0.998 0.997 0.331
Sm 0.502 0.003 0.835

Calculated values
formation energy: 1.395 kcal/mol of atoms
crystal system: monoclinic
total DFT energy (no corrections): -58.86 eV/cell
distance to the lowest polymorph of the same formula: 0 meV per atom

(17)
VASP calculation (GGA-PBE) on crystalline TbSm6Y2 at its relaxed geometry.

a = 6.022 Å, b = 14.809 Å, c = 14.809 Å
α = 92.37°, β = 127.94°, γ = 127.94°
Atoms (fractional coordinates):
Sm 0.876 0.846 0.403
Tb 0.250 0.991 0.009
Sm 0.891 0.681 0.578
Sm 0.376 0.403 0.846
Sm 0.288 0.781 0.074
Y 0.617 0.833 0.575
Y 0.383 0.167 0.425
Tb 0.750 0.009 0.991
Sm 0.212 0.926 0.219
Sm 0.109 0.319 0.422
Sm 0.712 0.219 0.926
Y 0.117 0.575 0.833
Sm 0.609 0.422 0.319
Sm 0.391 0.578 0.681
Sm 0.624 0.597 0.154
Sm 0.124 0.154 0.597
Sm 0.788 0.074 0.781
Y 0.883 0.425 0.167

Calculated values
formation energy: 3.210 kcal/mol of atoms
crystal system: monoclinic
total DFT energy (no corrections): -89.24 eV/cell
distance to the lowest polymorph of the same formula: 0 meV per atom

(18)
VASP calculation (GGA-PBE) on crystalline Tb2Sm3Y2 at its relaxed geometry.

a = 3.546 Å, b = 13.171 Å, c = 5.554 Å
α = 77.77°, β = 90.00°, γ = 113.77°
Atoms (fractional coordinates):
Sm 0.670 0.446 0.277
Sm 0.000 0.000 0.000
Y 0.427 0.284 0.858
Sm 0.330 0.554 0.723
Tb 0.736 0.156 0.422
Y 0.573 0.716 0.142
Tb 0.264 0.844 0.578

Calculated values
formation energy: 1.253 kcal/mol of atoms
crystal system: triclinic
total DFT energy (no corrections): -35.97 eV/cell
distance to the lowest polymorph of the same formula: 0 meV per atom

(19)
VASP calculation (GGA-PBE) on crystalline Tb6Sm4Y at its relaxed geometry.

a = 7.658 Å, b = 7.658 Å, c = 8.530 Å
α = 116.67°, β = 116.67°, γ = 90.00°
Atoms (fractional coordinates):
Tb 0.926 0.446 0.372
Tb 0.074 0.074 0.628
Sm 0.905 0.905 0.153
Sm 0.752 0.095 0.847
Tb 0.000 0.500 0.000
Sm 0.248 0.248 0.153
Tb 0.446 0.926 0.372
Sm 0.095 0.752 0.847
Y 0.500 0.500 0.000
Tb 0.554 0.554 0.628
Tb 0.500 0.000 0.000

Calculated values
formation energy: 9.766 kcal/mol of atoms
crystal system: tetragonal
total DFT energy (no corrections): -48.46 eV/cell
distance to the lowest polymorph of the same formula: 122 meV per atom